DFT (GGA+U) results for a relaxed TlMoO4 crystal.

Lattice parameters (Å, degrees): 6.028 4.973 5.720 90.00 109.03 90.00
Sites, in units of the cell vectors:
Tl: 0.000 0.000 0.000
Tl: 0.000 0.500 0.500
Mo: 0.500 0.000 0.500
Mo: 0.500 0.500 0.000
O: 0.174 0.147 0.374
O: 0.174 0.353 0.874
O: 0.393 0.726 0.683
O: 0.393 0.774 0.183
O: 0.607 0.226 0.817
O: 0.607 0.274 0.317
O: 0.826 0.647 0.126
O: 0.826 0.853 0.626

Properties
The calculation puts the energy above the most stable polymorph in this dataset at 0.28 eV/f.u. The calculation puts the magnetic moment at 2.00 μB/cell. The value obtained for the total energy is -6.0912 eV/atom.